Here is Cd4HgBi after structural relaxation from the Alexandria database. Energies are from GGA-PBE.

For the density of states at the Fermi level, the calculation gives 9.39 states/eV per cell. As for the formation energy: 81 meV/atom.

The structure belongs to space group F-43m (No. 216); the cell edges are 8.4895, 8.4895 and 8.4895 Å and the angles 90.00°, 90.00° and 90.00°. Symmetry generates all atoms from Cd at (0.1244, 0.1244, 0.1244), Hg at (0.2500, 0.2500, 0.7500) and Bi at (0.0000, 0.0000, 0.5000).

Here is LaRh2W after structural relaxation from the Alexandria database. Energies are from GGA-PBE.

For the density of states at the Fermi level, the calculation gives 6.90 states/eV per cell. As for the formation energy: 104 meV/atom.

The structure belongs to space group Immm (No. 71); the cell edges are 4.0855, 5.2064 and 7.4845 Å and the angles 90.00°, 90.00° and 90.00°. Symmetry generates all atoms from La at (0.0000, 0.0000, 0.0000), Rh at (0.0000, 0.5000, 0.2046) and W at (0.0000, 0.0000, 0.5000).

Here is CsZrO3 after structural relaxation from the Alexandria database. Energies are from GGA-PBE.

The raw total energy comes out at -7.101 eV per atom. For the density of states at the Fermi level, the calculation gives 87.82 states/eV per cell.

The structure belongs to space group Fd-3m (No. 227, origin choice 2); the cell edges are 11.4532, 11.4532 and 11.4532 Å and the angles 90.00°, 90.00° and 90.00°. Symmetry generates all atoms from Cs at (0.0000, 0.0000, 0.0000), Zr at (0.0000, 0.0000, 0.5000) and O at (0.0595, 0.3750, 0.8750).

Here is Tb3PmIn3 after structural relaxation from the Alexandria database. Energies are from GGA-PBE.

For the density of states at the Fermi level, the calculation gives 33.99 states/eV per cell. As for the formation energy: -325 meV/atom.

The structure belongs to space group P2_13 (No. 198); the cell edges are 9.3972, 9.3972 and 9.3972 Å and the angles 90.00°, 90.00° and 90.00°. Symmetry generates all atoms from Tb at (0.0804, 0.4196, 0.5804), Tb at (0.1768, 0.1768, 0.1768), Tb at (0.1768, 0.8232, 0.3232), Pm at (0.0719, 0.5719, 0.9281) and In at (0.0012, 0.7437, 0.6197).

Here is MgNbAlRe after structural relaxation from the Alexandria database. Energies are from GGA-PBE.

For the density of states at the Fermi level, the calculation gives 16.22 states/eV per cell. As for the formation energy: -103 meV/atom.

The structure belongs to space group F-43m (No. 216); the cell edges are 6.3793, 6.3793 and 6.3793 Å and the angles 90.00°, 90.00° and 90.00°. Symmetry generates all atoms from Mg at (0.0000, 0.0000, 0.0000), Nb at (0.2500, 0.2500, 0.7500), Al at (0.2500, 0.2500, 0.2500) and Re at (0.0000, 0.0000, 0.5000).

Here is NaBe3Ga after structural relaxation from the Alexandria database. Energies are from GGA-PBE.

For the density of states at the Fermi level, the calculation gives 1.28 states/eV per cell. As for the formation energy: 716 meV/atom.

The structure belongs to space group Pm-3m (No. 221); the cell edges are 4.3133, 4.3133 and 4.3133 Å and the angles 90.00°, 90.00° and 90.00°. Symmetry generates all atoms from Na at (0.0000, 0.0000, 0.0000), Be at (0.0000, 0.5000, 0.5000) and Ga at (0.5000, 0.5000, 0.5000).